# 1
Here is a relaxed structure of Tc3GeB from the Alexandria database. Energies are from PBE-GGA.

Cell: 4.107 4.107 4.107 Å, 90.00 90.00 90.00°
Positions (direct):
1 Tc 0.000 0.000 0.500
2 Tc 0.000 0.500 0.000
3 Tc 0.500 0.000 0.000
4 Ge 0.500 0.500 0.500
5 B 0.000 0.000 0.000

Its density of states at the Fermi level is 5.464 states/eV/cell. The value obtained for the mass density is 9.04 Mg/m³. The calculation puts the formation energy from the elements at 0.22 eV/atom. Its energy above the most stable polymorph in this dataset is 0.000 eV per atom.

# 2
Here is a relaxed structure of GeBTe from the Alexandria database. Energies are from PBE-GGA.

Cell: 3.576 4.964 8.672 Å, 94.18 101.78 110.79°
Positions (direct):
1 Ge 0.154 0.307 0.498
2 Ge 0.846 0.693 0.502
3 B 0.123 0.058 0.689
4 B 0.877 0.942 0.311
5 Te 0.258 0.859 0.152
6 Te 0.742 0.141 0.848

As for the final energy: -4.45 eV per atom. Its density of states at the Fermi level is 2.136 states/eV/cell. The value obtained for the mass density is 5.04 Mg/m³.

# 3
Here is a relaxed structure of GeBTe3 from the Alexandria database. Energies are from PBE-GGA.

Cell: 5.415 5.415 5.415 Å, 90.00 90.00 90.00°
Positions (direct):
1 Ge 0.000 0.000 0.000
2 B 0.500 0.500 0.500
3 Te 0.000 0.000 0.500
4 Te 0.000 0.500 0.000
5 Te 0.500 0.000 0.000

Its density of states at the Fermi level is 4.490 states/eV/cell. The value obtained for the mass density is 4.88 Mg/m³. Its energy above the most stable polymorph in this dataset is 0.638 eV per atom.

# 4
Here is a relaxed structure of GeBTe3 from the Alexandria database. Energies are from PBE-GGA.

Cell: 4.892 4.892 4.892 Å, 90.00 90.00 90.00°
Positions (direct):
1 Ge 0.000 0.000 0.000
2 B 0.500 0.500 0.500
3 Te 0.000 0.500 0.500
4 Te 0.500 0.000 0.500
5 Te 0.500 0.500 0.000

Its density of states at the Fermi level is 4.112 states/eV/cell. The value obtained for the mass density is 6.61 Mg/m³. Its energy above the most stable polymorph in this dataset is 0.000 eV per atom.

# 5
Here is a relaxed structure of ZrGeBTe2 from the Alexandria database. Energies are from PBE-GGA.

Cell: 5.633 5.633 4.456 Å, 90.00 90.00 90.00°
Positions (direct):
1 Zr 0.000 0.000 0.000
2 Ge 0.500 0.500 0.500
3 B 0.000 0.000 0.500
4 Te 0.000 0.500 0.000
5 Te 0.500 0.000 0.000

As for the final energy: -4.58 eV per atom. Its density of states at the Fermi level is 3.890 states/eV/cell. The value obtained for the mass density is 5.05 Mg/m³.

# 6
Here is a relaxed structure of Th12Ge5B3 from the Alexandria database. Energies are from PBE-GGA.

Cell: 14.581 14.581 14.581 Å, 109.47 109.47 109.47°
Positions (direct):
1 Th 0.063 0.627 0.394
2 Th 0.063 0.936 0.669
3 Th 0.064 0.233 0.127
4 Th 0.064 0.331 0.937
5 Th 0.106 0.733 0.669
6 Th 0.106 0.873 0.437
7 Th 0.127 0.064 0.233
8 Th 0.127 0.563 0.894
9 Th 0.169 0.233 0.606
10 Th 0.169 0.436 0.563
11 Th 0.233 0.127 0.064
12 Th 0.233 0.606 0.169
13 Th 0.267 0.331 0.894
14 Th 0.267 0.436 0.373
15 Th 0.331 0.894 0.267
16 Th 0.331 0.937 0.064
17 Th 0.373 0.267 0.436
18 Th 0.373 0.606 0.937
19 Th 0.394 0.063 0.627
20 Th 0.394 0.831 0.767
21 Th 0.436 0.373 0.267
22 Th 0.436 0.563 0.169
23 Th 0.437 0.106 0.873
24 Th 0.437 0.831 0.564
25 Th 0.563 0.169 0.436
26 Th 0.563 0.894 0.127
27 Th 0.564 0.437 0.831
28 Th 0.564 0.627 0.733
29 Th 0.606 0.169 0.233
30 Th 0.606 0.937 0.373
31 Th 0.627 0.394 0.063
32 Th 0.627 0.733 0.564
33 Th 0.669 0.063 0.936
34 Th 0.669 0.106 0.733
35 Th 0.733 0.564 0.627
36 Th 0.733 0.669 0.106
37 Th 0.767 0.394 0.831
38 Th 0.767 0.873 0.936
39 Th 0.831 0.564 0.437
40 Th 0.831 0.767 0.394
41 Th 0.873 0.437 0.106
42 Th 0.873 0.936 0.767
43 Th 0.894 0.127 0.563
44 Th 0.894 0.267 0.331
45 Th 0.936 0.669 0.063
46 Th 0.936 0.767 0.873
47 Th 0.937 0.064 0.331
48 Th 0.937 0.373 0.606
49 Ge 0.000 0.000 0.000
50 Ge 0.000 0.000 0.500
51 Ge 0.000 0.500 0.000
52 Ge 0.000 0.500 0.500
53 Ge 0.125 0.750 0.875
54 Ge 0.125 0.875 0.250
55 Ge 0.250 0.125 0.875
56 Ge 0.250 0.625 0.375
57 Ge 0.375 0.250 0.625
58 Ge 0.375 0.625 0.750
59 Ge 0.500 0.000 0.000
60 Ge 0.500 0.000 0.500
61 Ge 0.500 0.500 0.000
62 Ge 0.500 0.500 0.500
63 Ge 0.625 0.375 0.250
64 Ge 0.625 0.750 0.375
65 Ge 0.750 0.375 0.625
66 Ge 0.750 0.875 0.125
67 Ge 0.875 0.125 0.750
68 Ge 0.875 0.250 0.125
69 B 0.125 0.250 0.375
70 B 0.125 0.375 0.750
71 B 0.250 0.375 0.125
72 B 0.250 0.875 0.625
73 B 0.375 0.125 0.250
74 B 0.375 0.750 0.125
75 B 0.625 0.250 0.875
76 B 0.625 0.875 0.750
77 B 0.750 0.125 0.375
78 B 0.750 0.625 0.875
79 B 0.875 0.625 0.250
80 B 0.875 0.750 0.625

Its density of states at the Fermi level is 94.828 states/eV/cell. The value obtained for the mass density is 8.85 Mg/m³. The calculation puts the formation energy from the elements at 0.31 eV/atom.

# 7
Here is a relaxed structure of ThGeB from the Alexandria database. Energies are from PBE-GGA.

Cell: 3.975 3.975 9.714 Å, 101.40 101.40 49.49°
Positions (direct):
1 Th 0.059 0.059 0.192
2 Th 0.941 0.941 0.808
3 Ge 0.171 0.171 0.569
4 Ge 0.829 0.829 0.431
5 B 0.288 0.288 0.002
6 B 0.712 0.712 0.998

Its density of states at the Fermi level is 3.032 states/eV/cell. The value obtained for the mass density is 9.20 Mg/m³. The calculation puts the formation energy from the elements at -0.36 eV/atom.

# 8
Here is a relaxed structure of TiGeB3 from the Alexandria database. Energies are from PBE-GGA.

Cell: 4.205 4.205 4.205 Å, 90.00 90.00 90.00°
Positions (direct):
1 Ti 0.000 0.000 0.000
2 Ge 0.500 0.500 0.500
3 B 0.000 0.000 0.500
4 B 0.000 0.500 0.000
5 B 0.500 0.000 0.000

Its density of states at the Fermi level is 3.734 states/eV/cell. The value obtained for the mass density is 3.42 Mg/m³. The calculation puts the formation energy from the elements at 1.56 eV/atom. Its energy above the most stable polymorph in this dataset is 0.000 eV per atom.